(1)
Material: Pa3Nb5H12
Method: DFT, PBE
State: relaxed

The structure in POSCAR format:
```
Pa3Nb5H12
1.0
10.384 0.000 0.000
-3.461 9.790 0.000
-3.461 -4.895 8.478
H Pa Nb
48 12 20
Cartesian
4.756 5.492 4.632
-3.854 0.010 7.072
-1.294 -0.597 3.846
-0.697 5.677 3.527
7.619 2.231 2.440
2.123 3.683 0.712
-0.392 6.107 0.712
-1.862 -3.867 8.086
0.132 3.302 3.545
3.898 4.310 6.680
6.226 -3.445 7.392
-3.330 3.867 8.086
-1.034 3.445 7.392
1.862 -1.593 4.933
1.034 0.782 4.951
0.436 6.077 5.645
1.294 3.713 5.645
-1.034 -2.664 6.038
7.054 -2.274 5.326
-3.593 7.169 3.152
1.338 -1.223 7.784
2.123 6.118 0.694
1.338 1.212 7.766
4.800 4.905 1.406
-1.338 -0.010 7.072
6.486 0.597 3.846
1.599 6.488 3.545
5.324 8.762 0.393
-2.167 5.480 6.680
3.854 1.223 7.784
3.854 -1.212 7.766
-0.436 0.585 1.799
-3.025 4.298 4.632
-1.862 2.274 5.326
4.158 -0.782 4.951
3.025 -1.182 2.833
5.628 -0.585 1.799
2.167 1.182 2.833
7.315 4.885 1.406
4.495 1.450 1.087
2.428 4.113 3.527
-0.392 3.672 0.694
4.495 7.559 2.440
5.324 2.621 3.152
-2.764 8.340 1.087
3.330 1.593 4.933
6.791 1.028 0.393
-4.158 2.664 6.038
6.057 6.731 1.060
-0.865 4.283 5.299
4.327 0.612 3.179
-4.327 4.895 6.359
0.865 4.895 2.120
0.865 -0.612 3.179
2.596 5.507 5.299
2.596 0.000 6.359
-2.596 -1.836 7.419
-2.596 1.836 7.419
7.788 0.000 2.120
6.057 3.059 1.060
3.461 4.895 0.000
6.057 -0.612 5.299
0.865 3.059 7.419
1.731 2.447 4.239
2.596 7.342 2.120
5.192 0.000 0.000
-3.461 2.447 4.239
2.596 1.836 1.060
-1.731 4.895 0.000
-2.596 5.507 3.179
3.461 -2.447 4.239
-1.731 -2.447 4.239
4.327 4.283 3.179
-0.865 0.612 5.299
0.865 -2.447 6.359
4.327 -3.059 7.419
0.000 0.000 0.000
4.327 2.447 6.359
-0.865 7.954 1.060
-0.865 2.447 2.120
```

Calculated values
Symmetry   No. 230
VASP energy   -6.170 eV/atom

(2)
Material: TlInO3
Method: DFT, PBE
State: relaxed

The structure in POSCAR format:
```
TlInO3
1.0
4.208 0.000 0.000
0.000 4.208 0.000
0.000 0.000 4.208
O Tl In
3 1 1
Cartesian
0.000 2.104 0.000
0.000 0.000 2.104
2.104 0.000 0.000
0.000 0.000 0.000
2.104 2.104 2.104
```

Calculated values
Symmetry   No. 221
VASP energy   -4.124 eV/atom

(3)
Material: NaZnGa6
Method: DFT, PBE
State: relaxed

The structure in POSCAR format:
```
NaZnGa6
1.0
4.578 0.000 0.000
0.000 4.578 0.000
0.000 0.000 7.858
Na Ga Zn
1 6 1
Cartesian
0.000 0.000 0.000
2.289 2.289 6.603
0.000 2.289 5.299
2.289 2.289 1.256
2.289 0.000 5.299
2.289 0.000 2.559
0.000 2.289 2.559
0.000 0.000 3.929
```

Calculated values
Symmetry   No. 123
VASP energy   -2.678 eV/atom

(4)
Material: TaAsCl2
Method: DFT, PBE
State: relaxed

The structure in POSCAR format:
```
TaAsCl2
1.0
3.089 0.000 0.000
0.000 7.450 0.457
0.000 5.371 5.182
Cl Ta As
2 1 1
Cartesian
0.000 1.428 0.629
0.000 4.982 2.191
1.545 3.205 1.410
1.545 9.615 4.230
```

Calculated values
Symmetry   No. 65
Distance to the lowest polymorph of the same formula   60 meV per atom
VASP energy   -5.624 eV/atom

| no. | total magnetization (μB per formula unit) |
| --- | --- |
| 1 | 0.0 |
| 2 | 0.0 |
| 3 | 0.0 |
| 4 | 0.0 |